The following is a PBE calculation of crystalline CaGa3 at its relaxed geometry, from Alexandria.

Size of the total moment: 0.00 μB/atom
E_form: -101 kJ/mol of formula units
Uncorrected energy: -3.0312 eV/atom

Cell and atoms, written as POSCAR:
```
CaGa3
1.0
3.7555 0.0000 0.0000
0.0000 4.0945 0.0000
0.0000 0.0000 5.8525
Ca Ga
1 3
Direct
0.0000 0.0000 0.0000 Ca
0.0000 0.5000 0.5809 Ga
0.5000 0.0000 0.5314 Ga
0.5000 0.5000 0.2274 Ga
```